1.
HgAu | Alexandria via LeMat-Bulk | PBE-GGA | optimized geometry; E_form = 207 meV/atom
1.0
4.9386 0.0000 0.0000
-2.4693 4.2770 0.0000
0.0000 0.0000 5.5085
Au Hg
2 2
direct
0.3333 0.6667 0.9355
0.6667 0.3333 0.4355
0.3333 0.6667 0.4355
0.6667 0.3333 0.9355



2.
PrNd3Sm2Ho6 | Alexandria via LeMat-Bulk | PBE-GGA | optimized geometry; E_form = 13 meV/atom
1.0
-0.4793 3.3980 5.2173
-4.8560 -3.3962 -1.9701
5.5679 -9.0495 5.1640
Ho Sm Nd Pr
6 2 3 1
direct
0.4171 0.0834 0.2494
0.9166 0.5829 0.7506
0.5829 0.9166 0.7506
0.7497 0.7497 0.2496
0.0834 0.4171 0.2494
0.2503 0.2503 0.7504
0.3334 0.6666 0.0000
0.6666 0.3334 0.0000
0.1668 0.8332 0.5000
0.5000 0.5000 0.5000
0.8332 0.1668 0.5000
0.0000 0.0000 0.0000



3.
PmAl11Fe | Alexandria via LeMat-Bulk | PBE-GGA | optimized geometry; E_form = -199 meV/atom
1.0
4.7650 -0.0688 1.9852
2.2623 6.7387 0.9425
-0.0317 -0.0344 6.7874
Al Pm Fe
11 1 1
direct
0.4992 0.2334 0.7839
0.9769 0.3631 0.6563
0.0000 0.0000 0.5000
0.3668 0.6369 0.6563
0.6332 0.3631 0.3437
0.5000 0.0000 0.5000
0.0000 0.5000 0.0000
0.5008 0.7666 0.2161
0.0231 0.6369 0.3437
0.2831 0.2334 0.2161
0.7169 0.7666 0.7839
0.0000 0.0000 0.0000
0.5000 0.5000 0.0000



4.
SiMoCl2 | Alexandria via LeMat-Bulk | PBE-GGA | optimized geometry; formation energy from raw total energies = -0.72 eV/f.u.; offset from the most stable computed form = 158.8 meV/atom
1.0
4.7476 -0.0006 0.0533
3.7023 2.9720 0.0533
1.9061 0.6703 7.0425
Cl Si Mo
2 1 1
direct
0.0102 0.0102 0.0991
0.8521 0.8521 0.6399
0.1727 0.1727 0.3930
0.4651 0.4651 0.3681



5.
CuAsPt | Alexandria via LeMat-Bulk | PBE-GGA | optimized geometry; E_form = -88 meV/atom; offset from the most stable computed form = 29.3 meV/atom
1.0
-1.5415 -4.1559 -1.1807
0.5295 -3.3155 3.1255
-1.6504 4.2799 -0.0036
Cu Pt As
1 1 1
direct
0.3252 0.3252 0.0000
0.6633 0.6633 0.0000
0.0115 0.0115 0.0000



6.
Pm5Nd2YEr | Alexandria via LeMat-Bulk | PBE-GGA | optimized geometry; E_form = 272 meV/atom
1.0
8.6650 0.0000 0.0000
0.0000 8.6650 0.0000
-4.3325 -4.3325 8.2404
Pm Nd Er Y
10 4 2 2
direct
0.8581 0.9265 0.2845
0.5735 0.6419 0.7155
0.0000 0.0000 0.0000
0.3581 0.8581 0.2845
0.0735 0.5735 0.7155
0.5000 0.5000 0.0000
0.4265 0.3581 0.2845
0.1419 0.0735 0.7155
0.6419 0.1419 0.7155
0.9265 0.4265 0.2845
0.8794 0.6206 0.0000
0.1206 0.3794 0.0000
0.6206 0.1206 0.0000
0.3794 0.8794 0.0000
0.7500 0.2500 0.5000
0.2500 0.7500 0.5000
0.2500 0.2500 0.5000
0.7500 0.7500 0.5000



7.
Pm3Sm3Cd2 | Alexandria via LeMat-Bulk | PBE-GGA | optimized geometry; E_form = -62 meV/atom
1.0
-2.5269 1.3689 -4.5323
2.6666 -5.9510 -0.1068
-13.4468 -6.1266 5.6466
Pm Sm Cd
6 6 4
direct
0.5396 0.0793 0.7500
0.6446 0.2892 0.4726
0.3554 0.7108 0.9726
0.4604 0.9207 0.2500
0.3554 0.7108 0.5274
0.6446 0.2892 0.0274
0.2641 0.5283 0.7500
0.0376 0.0753 0.8936
0.7359 0.4717 0.2500
0.9624 0.9247 0.1064
0.9624 0.9247 0.3936
0.0376 0.0753 0.6064
0.2241 0.4482 0.1443
0.7759 0.5518 0.8557
0.2241 0.4482 0.3557
0.7759 0.5518 0.6443



8.
ScWAu | Alexandria via LeMat-Bulk | PBE-GGA | optimized geometry; E_form = 186 meV/atom; offset from the most stable computed form = 191.1 meV/atom
1.0
2.9853 0.0000 0.0000
-1.4926 2.5853 0.0000
0.0000 0.0000 7.1021
W Au Sc
1 1 1
direct
0.6667 0.3333 0.6654
0.0000 0.0000 0.9983
0.3333 0.6667 0.3362



9.
Be2CdMo | Alexandria via LeMat-Bulk | PBE-GGA | optimized geometry; E_form = 368 meV/atom
1.0
-4.1698 1.3795 0.3365
-4.2110 -1.0577 -0.7431
-1.0739 -2.0690 4.7116
Cd Be Mo
1 2 1
direct
0.7500 0.7500 0.7500
0.5011 0.5011 0.4187
0.9989 0.9989 0.0813
0.2500 0.2500 0.2500



10.
MgHg2Pb | Alexandria via LeMat-Bulk | PBE-GGA | optimized geometry; E_form = -44 meV/atom
1.0
5.3130 0.2322 0.0000
-1.2867 5.1601 0.0000
0.0000 0.0000 3.6784
Hg Mg Pb
2 1 1
direct
0.0000 0.0000 0.0000
0.5000 0.5000 0.0000
0.5000 0.0000 0.5000
0.0000 0.5000 0.5000



11.
La2PmPu3Se6 | Alexandria via LeMat-Bulk | PBE-GGA | optimized geometry; formation energy from raw total energies = -20.89 eV/f.u.
1.0
-0.2868 -3.3417 -2.5320
6.5376 2.8455 -4.4960
4.1706 -3.5263 7.6690
Se Pm Pu La
6 1 3 2
direct
0.3326 0.9242 0.6652
0.0032 0.7486 0.0065
0.6674 0.0758 0.3348
0.6647 0.5918 0.3295
0.9968 0.2514 0.9935
0.3353 0.4082 0.6705
0.5000 0.0000 0.0000
0.5000 0.5000 0.0000
0.1674 0.8356 0.3348
0.8326 0.1644 0.6652
0.8344 0.6657 0.6688
0.1656 0.3343 0.3312



12.
AcNd5Dy6 | Alexandria via LeMat-Bulk | PBE-GGA | optimized geometry; E_form = 9 meV/atom
1.0
-3.5070 -5.2651 -0.2320
2.6732 -5.6339 1.0830
-5.8725 -4.1939 11.1829
Dy Nd Ac
6 5 1
direct
0.9187 0.3346 0.7475
0.4124 0.0000 0.2523
0.2533 0.6654 0.7476
0.0813 0.6654 0.2525
0.7467 0.3346 0.2524
0.5876 0.0000 0.7477
0.1667 0.6666 0.5000
0.5000 0.0000 0.5000
0.3332 0.3335 0.0000
0.8333 0.3334 0.5000
0.6668 0.6665 0.0000
0.0000 0.0000 0.0000



13.
Na2H6Rh | Alexandria via LeMat-Bulk | PBE-GGA | optimized geometry; DFT total energy = -59.7 eV per cell
1.0
4.5228 0.0000 0.0000
0.0000 4.5228 0.0000
0.0000 0.0000 9.7956
H Rh Na
12 2 4
direct
0.3390 0.3390 0.1327
0.3390 0.3390 0.8673
0.7417 0.7417 0.5000
0.7583 0.2417 0.0000
0.2583 0.2583 0.5000
0.6610 0.6610 0.8673
0.1610 0.8390 0.6327
0.8390 0.1610 0.6327
0.1610 0.8390 0.3673
0.2417 0.7583 0.0000
0.6610 0.6610 0.1327
0.8390 0.1610 0.3673
0.0000 0.0000 0.5000
0.5000 0.5000 0.0000
0.0000 0.0000 0.8384
0.0000 0.0000 0.1616
0.5000 0.5000 0.6616
0.5000 0.5000 0.3384



14.
CaPuIrAu | Alexandria via LeMat-Bulk | PBE-GGA | optimized geometry; E_form = -408 meV/atom
1.0
4.9837 0.0000 0.0000
2.4919 4.3160 0.0000
2.4919 1.4387 4.0692
Ca Au Ir Pu
1 1 1 1
direct
0.2500 0.2500 0.2500
0.0000 0.0000 0.0000
0.5000 0.5000 0.5000
0.7500 0.7500 0.7500



15.
Hf4AgN | Alexandria via LeMat-Bulk | PBE-GGA | optimized geometry; formation energy from raw total energies = -2.07 eV/f.u.
1.0
5.1016 0.0000 0.0000
0.0000 6.6202 -0.4244
0.0000 -3.0330 7.4403
Hf Ag N
8 2 2
direct
0.2494 0.8129 0.1174
0.2578 0.8765 0.7589
0.7494 0.6871 0.8826
0.2422 0.3765 0.7589
0.7506 0.1871 0.8826
0.2506 0.3129 0.1174
0.7578 0.6235 0.2411
0.7422 0.1235 0.2411
0.5000 0.0000 0.5000
0.0000 0.5000 0.5000
0.5000 0.5000 0.0000
0.0000 0.0000 0.0000



16.
InCoHgPb2 | Alexandria via LeMat-Bulk | PBE-GGA | optimized geometry; E_form = 122 meV/atom
1.0
-3.6163 -3.5231 0.7983
3.6119 -3.5072 0.8839
-0.0606 1.1724 4.8995
Co Pb Hg In
1 2 1 1
direct
0.0000 0.0000 0.0000
0.0000 0.5000 0.0000
0.5000 0.0000 0.0000
0.5000 0.5000 0.5000
0.0000 0.0000 0.5000



17.
Pm4Tl2Br5 | Alexandria via LeMat-Bulk | PBE-GGA | optimized geometry; formation energy from raw total energies = -10.58 eV/f.u.
1.0
3.9647 0.0000 0.0000
0.0000 6.6347 -2.0608
-1.9824 -6.3912 17.2651
Pm Tl Br
4 2 5
direct
0.2962 0.5316 0.5924
0.7038 0.4684 0.4076
0.0317 0.8173 0.0634
0.9683 0.1827 0.9366
0.2775 0.9507 0.5549
0.7225 0.0493 0.4451
0.9305 0.4259 0.8610
0.5000 0.0000 0.0000
0.0695 0.5741 0.1390
0.8733 0.7294 0.7466
0.1267 0.2706 0.2534